No. 1
Computed, not measured: a relaxed structure of Co2OsRu at the PBE-GGA level of DFT.

Cell lengths 2.6619, 2.6619, 25.1075 Å; angles 90.00, 90.00, 120.00 degrees
Space group R3m (No. 160, hexagonal axes)
Unique sites:
Co (0.0000, 0.0000, 0.0000)
Co (0.0000, 0.0000, 0.2563)
Os (0.0000, 0.0000, 0.7514)
Ru (0.0000, 0.0000, 0.5047)

Values from the calculation:
Total DFT energy (no corrections) (eV per atom): -8.48
Total magnetization (μB/cell): 8.84
Calculated formation energy (eV/atom): 0.195
Distance to the lowest polymorph of the same formula (eV/f.u.): 0.26



No. 2
Computed, not measured: a relaxed structure of Co2OsRu at the PBE-GGA level of DFT.

Cell lengths 5.926, 5.926, 5.926 Å; angles 90.00, 90.00, 90.00 degrees
Space group F-43m (No. 216)
Unique sites:
Co (0.000, 0.000, 0.000)
Co (0.250, 0.250, 0.250)
Os (0.250, 0.250, 0.750)
Ru (0.000, 0.000, 0.500)

Values from the calculation:
Total DFT energy (no corrections) (eV per atom): -8.27
Total magnetization (μB/cell): 16.62
Calculated formation energy (eV/atom): 0.411
Distance to the lowest polymorph of the same formula (eV/f.u.): 1.12



No. 3
Computed, not measured: a relaxed structure of CoOsRu2 at the PBE-GGA level of DFT.

Cell lengths 2.746, 4.543, 8.919 Å; angles 90.00, 90.00, 90.00 degrees
Space group Cmmm (No. 65)
Unique sites:
Co (0.000, 0.000, 0.000)
Os (0.000, 0.000, 0.500)
Ru (0.000, 0.500, 0.241)

Values from the calculation:
Total DFT energy (no corrections) (eV per atom): -8.72
Total magnetization (μB/cell): 6.94
Calculated formation energy (eV/atom): 0.502
Distance to the lowest polymorph of the same formula (eV/f.u.): 1.45



No. 4
Computed, not measured: a relaxed structure of CoOsRu2 at the PBE-GGA level of DFT.

Cell lengths 2.680, 2.680, 7.394 Å; angles 90.00, 90.00, 90.00 degrees
Space group P4mm (No. 99)
Unique sites:
Co (0.000, 0.000, 0.000)
Os (0.500, 0.500, 0.237)
Ru (0.000, 0.000, 0.499)
Ru (0.500, 0.500, 0.759)

Values from the calculation:
Total DFT energy (no corrections) (eV per atom): -9.05
Total magnetization (μB/cell): 1.14
Calculated formation energy (eV/atom): 0.168
Distance to the lowest polymorph of the same formula (eV/f.u.): 0.12



No. 5
Computed, not measured: a relaxed structure of TaCoOs2Ru at the PBE-GGA level of DFT.

Cell lengths 4.348, 4.348, 4.446 Å; angles 90.00, 90.00, 90.00 degrees
Space group P4/mmm (No. 123)
Unique sites:
Ta (0.000, 0.000, 0.000)
Co (0.000, 0.000, 0.500)
Os (0.000, 0.500, 0.500)
Ru (0.500, 0.500, 0.000)

Values from the calculation:
Total DFT energy (no corrections) (eV per atom): -8.75
Total magnetization (μB/cell): 0.00
Calculated formation energy (eV/atom): 1.390



No. 6
Computed, not measured: a relaxed structure of ZnCoOs2Ru at the PBE-GGA level of DFT.

Cell lengths 4.638, 4.638, 4.620 Å; angles 90.00, 90.00, 90.00 degrees
Space group P4/mmm (No. 123)
Unique sites:
Zn (0.000, 0.000, 0.000)
Co (0.500, 0.500, 0.000)
Os (0.000, 0.500, 0.500)
Ru (0.000, 0.000, 0.500)

Values from the calculation:
Total DFT energy (no corrections) (eV per atom): -6.02
Total magnetization (μB/cell): 3.11
Calculated formation energy (eV/atom): 2.004



No. 7
Computed, not measured: a relaxed structure of Zr2CoOsRu at the PBE-GGA level of DFT.

Cell lengths 5.007, 5.007, 4.341 Å; angles 90.00, 90.00, 90.00 degrees
Space group P4/mmm (No. 123)
Unique sites:
Zr (0.000, 0.500, 0.000)
Co (0.000, 0.000, 0.500)
Os (0.000, 0.000, 0.000)
Ru (0.500, 0.500, 0.500)

Values from the calculation:
Total DFT energy (no corrections) (eV per atom): -7.98
Total magnetization (μB/cell): 1.96
Calculated formation energy (eV/atom): 0.962



No. 8
Computed, not measured: a relaxed structure of CoOsS at the PBE-GGA level of DFT.

Cell lengths 6.926, 3.440, 8.504 Å; angles 90.00, 108.19, 90.00 degrees
Space group C2/m (No. 12)
Unique sites:
Co (0.239, 0.000, 0.239)
Os (0.132, 0.000, 0.928)
S (0.084, 0.500, 0.318)

Values from the calculation:
Total DFT energy (no corrections) (eV per atom): -7.32
Total magnetization (μB/cell): 0.00
ΔE_f (raw) (eV per atom): 0.17



No. 9
Computed, not measured: a relaxed structure of CoOs3S at the PBE-GGA level of DFT.

Cell lengths 4.427, 4.427, 4.427 Å; angles 90.00, 90.00, 90.00 degrees
Space group Pm-3m (No. 221)
Unique sites:
Co (0.000, 0.000, 0.000)
Os (0.000, 0.000, 0.500)
S (0.500, 0.500, 0.500)

Values from the calculation:
Total DFT energy (no corrections) (eV per atom): -6.74
Total magnetization (μB/cell): 2.02
Distance to the lowest polymorph of the same formula (eV/f.u.): 4.55
ΔE_f (raw) (eV per atom): 2.25



No. 10
Computed, not measured: a relaxed structure of CoOs3S at the PBE-GGA level of DFT.

Cell lengths 4.305, 4.305, 4.305 Å; angles 90.00, 90.00, 90.00 degrees
Space group Pm-3m (No. 221)
Unique sites:
Co (0.000, 0.000, 0.000)
Os (0.000, 0.500, 0.500)
S (0.500, 0.500, 0.500)

Values from the calculation:
Total DFT energy (no corrections) (eV per atom): -7.65
Total magnetization (μB/cell): 2.87
Distance to the lowest polymorph of the same formula (eV/f.u.): 0.00
ΔE_f (raw) (eV per atom): 1.34



No. 11
Computed, not measured: a relaxed structure of Co3OsS at the PBE-GGA level of DFT.

Cell lengths 4.070, 4.070, 4.070 Å; angles 90.00, 90.00, 90.00 degrees
Space group Pm-3m (No. 221)
Unique sites:
Co (0.000, 0.000, 0.500)
Os (0.500, 0.500, 0.500)
S (0.000, 0.000, 0.000)

Values from the calculation:
Total DFT energy (no corrections) (eV per atom): -6.61
Total magnetization (μB/cell): 6.12
Distance to the lowest polymorph of the same formula (eV/f.u.): 0.00
ΔE_f (raw) (eV per atom): 0.72



No. 12
Computed, not measured: a relaxed structure of Co3OsS at the PBE-GGA level of DFT.

Cell lengths 4.509, 4.509, 4.509 Å; angles 90.00, 90.00, 90.00 degrees
Space group Pm-3m (No. 221)
Unique sites:
Co (0.000, 0.000, 0.500)
Os (0.000, 0.000, 0.000)
S (0.500, 0.500, 0.500)

Values from the calculation:
Total DFT energy (no corrections) (eV per atom): -5.69
Total magnetization (μB/cell): 4.36
Distance to the lowest polymorph of the same formula (eV/f.u.): 4.62
ΔE_f (raw) (eV per atom): 1.65



No. 13
Computed, not measured: a relaxed structure of CoSb2OsS at the PBE-GGA level of DFT.

Cell lengths 5.040, 5.040, 4.773 Å; angles 90.00, 90.00, 90.00 degrees
Space group P4/mmm (No. 123)
Unique sites:
Co (0.000, 0.000, 0.000)
Sb (0.000, 0.500, 0.500)
Os (0.000, 0.000, 0.500)
S (0.500, 0.500, 0.000)

Values from the calculation:
Total DFT energy (no corrections) (eV per atom): -5.24
Total magnetization (μB/cell): 2.87
ΔE_f (raw) (eV per atom): 0.90



No. 14
Computed, not measured: a relaxed structure of CoSi2OsS at the PBE-GGA level of DFT.

Cell lengths 4.698, 4.698, 4.532 Å; angles 90.00, 90.00, 90.00 degrees
Space group P4/mmm (No. 123)
Unique sites:
Co (0.000, 0.000, 0.000)
Si (0.000, 0.500, 0.500)
Os (0.500, 0.500, 0.500)
S (0.500, 0.500, 0.000)

Values from the calculation:
Total DFT energy (no corrections) (eV per atom): -5.59
Total magnetization (μB/cell): 1.70
ΔE_f (raw) (eV per atom): 1.07



No. 15
Computed, not measured: a relaxed structure of Th8Co3OsS4 at the PBE-GGA level of DFT.

Cell lengths 7.9971, 7.9971, 21.2652 Å; angles 90.00, 90.00, 120.00 degrees
Space group R-3m (No. 166, hexagonal axes)
Unique sites:
Th (0.0000, 0.0000, 0.2391)
Th (0.0036, 0.5018, 0.7590)
Co (0.0000, 0.5000, 0.5000)
Os (0.0000, 0.0000, 0.5000)
S (0.0000, 0.0000, 0.0000)
S (0.0000, 0.5000, 0.0000)

Values from the calculation:
Total DFT energy (no corrections) (eV per atom): -7.79
Total magnetization (μB/cell): 0.00
ΔE_f (raw) (eV per atom): -1.02



No. 16
Computed, not measured: a relaxed structure of Th4CoOs2S at the PBE-GGA level of DFT.

Cell lengths 7.053, 4.098, 7.183 Å; angles 90.00, 109.48, 90.00 degrees
Space group P2/m (No. 10)
Unique sites:
Th (0.237, 0.000, 0.239)
Th (0.247, 0.500, 0.756)
Co (0.500, 0.000, 0.000)
Os (0.000, 0.000, 0.500)
Os (0.000, 0.500, 0.000)
S (0.500, 0.500, 0.500)

Values from the calculation:
Total DFT energy (no corrections) (eV per atom): -8.51
Total magnetization (μB/cell): 0.00
ΔE_f (raw) (eV per atom): -0.59



No. 17
Computed, not measured: a relaxed structure of Th8CoOs3S4 at the PBE-GGA level of DFT.

Cell lengths 8.1125, 8.1125, 21.3804 Å; angles 90.00, 90.00, 120.00 degrees
Space group R-3m (No. 166, hexagonal axes)
Unique sites:
Th (0.0000, 0.0000, 0.2421)
Th (0.0035, 0.5018, 0.2405)
Co (0.0000, 0.0000, 0.5000)
Os (0.0000, 0.5000, 0.5000)
S (0.0000, 0.0000, 0.0000)
S (0.0000, 0.5000, 0.0000)

Values from the calculation:
Total DFT energy (no corrections) (eV per atom): -8.34
Total magnetization (μB/cell): 0.00
ΔE_f (raw) (eV per atom): -1.05



No. 18
Computed, not measured: a relaxed structure of Th6Co3OsS2 at the PBE-GGA level of DFT.

Cell lengths 17.862, 3.987, 8.306 Å; angles 90.00, 106.01, 90.00 degrees
Space group C2/m (No. 12)
Unique sites:
Th (0.004, 0.000, 0.252)
Th (0.158, 0.500, 0.112)
Th (0.165, 0.500, 0.581)
Co (0.000, 0.500, 0.000)
Co (0.176, 0.000, 0.347)
Os (0.000, 0.500, 0.500)
S (0.174, 0.000, 0.856)

Values from the calculation:
Total DFT energy (no corrections) (eV per atom): -7.86
Total magnetization (μB/cell): 0.00
ΔE_f (raw) (eV per atom): -0.75



No. 19
Computed, not measured: a relaxed structure of CoOsWS2 at the PBE-GGA level of DFT.

Cell lengths 4.497, 4.497, 4.525 Å; angles 90.00, 90.00, 90.00 degrees
Space group P4/mmm (No. 123)
Unique sites:
Co (0.000, 0.000, 0.000)
Os (0.500, 0.500, 0.000)
W (0.000, 0.000, 0.500)
S (0.000, 0.500, 0.500)

Values from the calculation:
Total DFT energy (no corrections) (eV per atom): -6.33
Total magnetization (μB/cell): 0.50
ΔE_f (raw) (eV per atom): 1.58



No. 20
Computed, not measured: a relaxed structure of CoSb6Os at the PBE-GGA level of DFT.

Cell lengths 13.056, 9.275, 9.261 Å; angles 90.00, 134.68, 90.00 degrees
Space group C2/m (No. 12)
Unique sites:
Co (0.250, 0.250, 0.000)
Sb (0.006, 0.157, 0.841)
Sb (0.157, 0.334, 0.663)
Sb (0.161, 0.500, 0.315)
Sb (0.170, 0.500, 0.008)
Os (0.250, 0.250, 0.500)

Values from the calculation:
Total DFT energy (no corrections) (eV per atom): -5.45
Total magnetization (μB/cell): 0.00
ΔE_f (raw) (eV per atom): -0.07



No. 21
Computed, not measured: a relaxed structure of CoSb2Os at the PBE-GGA level of DFT.

Cell lengths 3.127, 3.127, 8.041 Å; angles 90.00, 90.00, 90.00 degrees
Space group P4mm (No. 99)
Unique sites:
Co (0.000, 0.000, 0.000)
Sb (0.000, 0.000, 0.395)
Sb (0.500, 0.500, 0.818)
Os (0.500, 0.500, 0.190)

Values from the calculation:
Total DFT energy (no corrections) (eV per atom): -6.36
Total magnetization (μB/cell): 0.58
Distance to the lowest polymorph of the same formula (eV/f.u.): 0.08
ΔE_f (raw) (eV per atom): 0.29



No. 22
Computed, not measured: a relaxed structure of CoSbOs4 at the PBE-GGA level of DFT.

Cell lengths 7.370, 7.370, 7.370 Å; angles 90.00, 90.00, 90.00 degrees
Space group F-43m (No. 216)
Unique sites:
Co (0.000, 0.000, 0.000)
Sb (0.250, 0.250, 0.250)
Os (0.126, 0.126, 0.626)

Values from the calculation:
Total DFT energy (no corrections) (eV per atom): -8.38
Total magnetization (μB/cell): 16.09
ΔE_f (raw) (eV per atom): 0.98



No. 23
Computed, not measured: a relaxed structure of CoSb2Os at the PBE-GGA level of DFT.

Cell lengths 6.643, 6.643, 6.643 Å; angles 90.00, 90.00, 90.00 degrees
Space group F-43m (No. 216)
Unique sites:
Co (0.000, 0.000, 0.000)
Sb (0.000, 0.000, 0.500)
Sb (0.250, 0.250, 0.750)
Os (0.250, 0.250, 0.250)

Values from the calculation:
Total DFT energy (no corrections) (eV per atom): -5.71
Total magnetization (μB/cell): 7.84
Distance to the lowest polymorph of the same formula (eV/f.u.): 2.64
ΔE_f (raw) (eV per atom): 0.93



No. 24
Computed, not measured: a relaxed structure of CoSb2Os at the PBE-GGA level of DFT.

Cell lengths 3.149, 3.987, 13.400 Å; angles 90.00, 90.00, 90.00 degrees
Space group Imm2 (No. 44)
Unique sites:
Co (0.000, 0.000, 0.000)
Sb (0.000, 0.000, 0.564)
Sb (0.000, 0.500, 0.306)
Os (0.000, 0.500, 0.889)

Values from the calculation:
Total DFT energy (no corrections) (eV per atom): -6.22
Total magnetization (μB/cell): 2.86
Distance to the lowest polymorph of the same formula (eV/f.u.): 0.62
ΔE_f (raw) (eV per atom): 0.42



No. 25
Computed, not measured: a relaxed structure of CoSb2Os at the PBE-GGA level of DFT.

Cell lengths 4.044, 3.359, 10.292 Å; angles 90.00, 90.00, 90.00 degrees
Space group Amm2 (No. 38)
Unique sites:
Co (0.000, 0.000, 0.000)
Sb (0.000, 0.000, 0.746)
Sb (0.500, 0.000, 0.450)
Os (0.500, 0.000, 0.171)

Values from the calculation:
Total DFT energy (no corrections) (eV per atom): -6.38
Total magnetization (μB/cell): 0.00
Distance to the lowest polymorph of the same formula (eV/f.u.): 0.00
ΔE_f (raw) (eV per atom): 0.27



No. 26
Computed, not measured: a relaxed structure of CoSb2Os at the PBE-GGA level of DFT.

Cell lengths 3.847, 3.847, 9.490 Å; angles 90.00, 90.00, 90.00 degrees
Space group I-4m2 (No. 119)
Unique sites:
Co (0.000, 0.000, 0.000)
Sb (0.000, 0.000, 0.500)
Sb (0.000, 0.500, 0.250)
Os (0.000, 0.500, 0.750)

Values from the calculation:
Total DFT energy (no corrections) (eV per atom): -6.00
Total magnetization (μB/cell): 0.62
Distance to the lowest polymorph of the same formula (eV/f.u.): 1.49
ΔE_f (raw) (eV per atom): 0.64



No. 27
Computed, not measured: a relaxed structure of CoSb2Os at the PBE-GGA level of DFT.

Cell lengths 6.530, 6.530, 6.530 Å; angles 90.00, 90.00, 90.00 degrees
Space group Fm-3m (No. 225)
Unique sites:
Co (0.000, 0.000, 0.000)
Sb (0.250, 0.250, 0.250)
Os (0.000, 0.000, 0.500)

Values from the calculation:
Total DFT energy (no corrections) (eV per atom): -6.20
Total magnetization (μB/cell): 7.87
Distance to the lowest polymorph of the same formula (eV/f.u.): 0.69
ΔE_f (raw) (eV per atom): 0.44